# 1
The following is a GGA-PBE calculation of a relaxed structure of K2ReIr, from Alexandria via LeMat-Bulk.

```
K2ReIr
1.0
5.237 0.000 0.000
0.000 11.346 0.000
0.000 0.000 2.783
K Re Ir
4 2 2
Cartesian
1.309 2.837 0.000
1.309 8.510 0.000
3.928 2.837 0.000
3.928 8.510 0.000
0.000 0.000 1.392
2.619 5.673 1.392
0.000 5.673 1.392
2.619 0.000 1.392
```

**ΔE to the lowest computed polymorph**: 0.634 eV per atom
**Space-group type**: No. 65
**Formation energy from the elements**: 1.1963 eV per atom
**Density of states at the Fermi level**: 2.3 states/eV/f.u.


# 2
The following is a GGA-PBE calculation of a relaxed structure of InAs2IBr, from Alexandria via LeMat-Bulk.

```
InAs2IBr
1.0
5.326 0.000 0.000
0.000 5.326 0.000
0.000 0.000 7.601
In As I Br
1 2 1 1
Cartesian
0.000 0.000 0.000
0.000 2.663 3.801
2.663 0.000 3.801
2.663 2.663 3.801
2.663 2.663 0.000
```

**Formation energy from raw total energies**: 737 meV per atom
**ΔE to the lowest computed polymorph**: 0.223 eV per atom
**Space-group type**: No. 123
**Density of states at the Fermi level**: 5.2 states/eV/f.u.


Please write out number 1 again, unchanged.
The following is a GGA-PBE calculation of a relaxed structure of K2ReIr, from Alexandria via LeMat-Bulk.

```
K2ReIr
1.0
5.237 0.000 0.000
0.000 11.346 0.000
0.000 0.000 2.783
K Re Ir
4 2 2
Cartesian
1.309 2.837 0.000
1.309 8.510 0.000
3.928 2.837 0.000
3.928 8.510 0.000
0.000 0.000 1.392
2.619 5.673 1.392
0.000 5.673 1.392
2.619 0.000 1.392
```

**ΔE to the lowest computed polymorph**: 0.634 eV per atom
**Space-group type**: No. 65
**Formation energy from the elements**: 1.1963 eV per atom
**Density of states at the Fermi level**: 2.3 states/eV/f.u.


> The highest ΔE to the lowest computed polymorph belongs to which entry?

K2ReIr